No. 1
{"formula": "ScBeMo3", "functional": "PBEsol", "state": "relaxed", "relative_energy_mev_per_atom": 0, "delta_e_f_ev_per_atom": 0.683, "lattice_angstrom": [[4.294, 0.000, 0.000], [0.000, 4.294, 0.000], [0.000, 0.000, 4.294]], "species": ["Mo", "Mo", "Mo", "Sc", "Be"], "fractional_positions": [[0.000, 0.000, 0.500], [0.000, 0.500, 0.000], [0.500, 0.000, 0.000], [0.500, 0.500, 0.500], [0.000, 0.000, 0.000]]}

---

No. 2
{"formula": "ScBeZn2Mo", "functional": "PBEsol", "state": "relaxed", "delta_e_f_ev_per_atom": 1.782, "lattice_angstrom": [[4.299, 0.000, 0.000], [0.000, 4.680, 0.000], [0.000, 0.000, 4.680]], "species": ["Mo", "Zn", "Zn", "Be", "Sc"], "fractional_positions": [[0.500, 0.500, 0.500], [0.000, 0.500, 0.000], [0.000, 0.000, 0.500], [0.500, 0.000, 0.000], [0.000, 0.000, 0.000]]}

---

No. 3
{"formula": "Be3MoSe", "functional": "PBEsol", "state": "relaxed", "formation_energy_uncorrected_ev_per_fu": 7.47, "lattice_angstrom": [[4.295, 0.000, 0.000], [0.000, 4.295, 0.000], [0.000, 0.000, 4.295]], "species": ["Be", "Be", "Be", "Se", "Mo"], "fractional_positions": [[0.500, 0.000, 0.000], [0.000, 0.000, 0.500], [0.000, 0.500, 0.000], [0.500, 0.500, 0.500], [0.000, 0.000, 0.000]]}

---

Number 1: M_tot 0.0 μB/cell, DOS(E_F) 5.97 states/eV/f.u.. Number 2: M_tot 2.5 μB/cell, DOS(E_F) 5.77 states/eV/f.u.. Number 3: M_tot 0.0 μB/cell, DOS(E_F) 3.66 states/eV/f.u..